# 1
Compound: LaDy7Y4
Source: the Alexandria database
Functional: PBE
Structure: optimized geometry

Final energy in eV/atom: -5.248
Calculated volume in Å³ per cell: 387
Total magnetic moment in μB per cell: 0.0
Formation energy in eV/atom: 0.00
Energy above the lowest structure with this stoichiometry in eV per atom: 0.000
Crystal system: triclinic

```
12
Lattice="6.412 -1.856 2.699 0.720 5.769 2.243 2.863 -2.323 10.814" Properties=species:S:1:pos:R:3 pbc="T T T"
Y 4.130 2.607 6.361
Dy 3.206 -0.928 1.350
Y 5.865 -1.017 9.395
Y 2.180 0.193 4.558
Dy 4.613 2.321 9.838
Dy 2.646 -0.101 8.040
Dy 1.969 2.422 1.810
La 0.000 0.000 0.000
Dy 7.349 1.691 7.716
Dy 5.382 -0.731 5.918
Dy 8.026 -0.832 13.946
Y 7.816 1.397 11.198
```

=====

# 2
Compound: Cd3Cu
Source: the Alexandria database
Functional: PBE
Structure: optimized geometry

Final energy in eV/atom: -1.601
Calculated volume in Å³ per cell: 78
Total magnetic moment in μB per cell: 0.0
Formation energy in eV/atom: 0.11
Crystal system: orthorhombic

```
4
Lattice="5.052 0.013 0.000 -1.629 4.782 0.000 0.000 0.000 3.235" Properties=species:S:1:pos:R:3 pbc="T T T"
Cd -0.815 2.391 1.617
Cu 1.711 2.398 0.000
Cd 0.000 0.000 0.000
Cd 2.526 0.007 1.617
```

=====

# 3
Compound: TcRuRh4
Source: the Alexandria database
Functional: PBE
Structure: optimized geometry

Final energy in eV/atom: -8.212
Calculated volume in Å³ per cell: 85
Total magnetic moment in μB per cell: 0.0
Formation energy in eV/atom: -0.04
Energy above the lowest structure with this stoichiometry in eV per atom: 0.000
Crystal system: orthorhombic

```
6
Lattice="-1.028 2.293 -1.017 -1.109 -1.894 -3.148 -7.172 -1.654 3.522" Properties=species:S:1:pos:R:3 pbc="T T T"
Rh -2.964 -1.502 -0.391
Tc -4.100 0.320 1.253
Rh -1.698 0.873 0.073
Rh -7.611 -2.127 -0.716
Rh -5.317 -2.045 0.764
Ru -0.555 -0.947 -1.574
```